Entry 1:
VASP calculation (PBE) on crystalline LaCePm4 at its relaxed geometry.

Cell: 3.620 6.300 9.677 Å, 84.25 100.80 73.35°
Site moments in Bohr magnetons follow the coordinates.
Positions (direct):
La 0.997 0.001 0.502  0.00
Ce 0.498 0.501 0.002  0.80
Pm 0.836 0.496 0.676  0.03
Pm 0.158 0.506 0.327  0.03
Pm 0.324 0.008 0.163  0.02
Pm 0.670 0.994 0.841  0.02

Summary:
Energy relative to the elements = 0.06 eV/atom
E above lowest polymorph = 0.000 eV per atom
N(E_F) = 2.169 states/eV per atom


Entry 2:
VASP calculation (PBE) on crystalline LiCuNiSn at its relaxed geometry.

Cell: 4.355 4.355 4.298 Å, 120.42 120.44 90.00°
Positions (direct):
Li 0.250 0.750 0.500
Cu 0.500 0.501 0.000
Ni 0.000 0.999 0.000
Sn 0.750 0.250 0.500

Summary:
Energy relative to the elements = -0.21 eV/atom
N(E_F) = 0.496 states/eV per atom